A relaxed structure of NaY2AgS4. Source: the Alexandria database, functional PBE.

Values from the calculation:
The value obtained for the total magnetization is 0.00 μB/f.u. As for the space group: Imma, No. 74. The total energy is -5.76 eV/atom. As for the formation energy from raw total energies: -12.51 eV per formula unit.

Unit cell a=7.9719 b=7.9719 c=7.9719 alpha=120.82 beta=119.49 gamma=89.74
With the nearest neighbours (Å) after each atom.
Fractional positions:
Na 0.5000 0.0000 0.0000  6 S 2.88-2.89
Na 0.5000 0.5000 0.5000  6 S 2.88-2.89
Y 0.0000 0.0000 0.0000  6 S 2.75-2.77
Y 0.0000 0.0000 0.5000  6 S 2.74-2.76
Y 0.0000 0.5000 0.0000  6 S 2.74-2.76
Y 0.5000 0.0000 0.5000  6 S 2.75-2.77
Ag 0.0000 0.5000 0.5000  6 S 2.86-2.91
Ag 0.5000 0.5000 0.0000  6 S 2.86-2.91
S 0.2308 0.2431 0.9878  3 Y 2.74-2.75, 2 Na 2.88, 1 Ag 2.91
S 0.2444 0.2362 0.4917  3 Y 2.76-2.77, 2 Ag 2.86, 1 Na 2.89
S 0.2444 0.7527 0.0083  3 Y 2.76-2.77, 2 Ag 2.86, 1 Na 2.89
S 0.2447 0.7569 0.4878  3 Y 2.74-2.75, 2 Na 2.88, 1 Ag 2.91
S 0.7553 0.2431 0.5122  3 Y 2.74-2.75, 2 Na 2.88, 1 Ag 2.91
S 0.7556 0.2473 0.9917  3 Y 2.76-2.77, 2 Ag 2.86, 1 Na 2.89
S 0.7556 0.7638 0.5083  3 Y 2.76-2.77, 2 Ag 2.86, 1 Na 2.89
S 0.7692 0.7569 0.0122  3 Y 2.74-2.75, 2 Na 2.88, 1 Ag 2.91